GaRhN2F | GGA-PBE | relaxed

```
GaRhN2F
1.0
3.9261 0.0000 0.0000
0.0000 3.9261 0.0000
0.0000 0.0000 3.7015
Ga F Rh N
1 1 1 2
direct
0.0000 0.0000 0.0000
0.0000 0.0000 0.5000
0.5000 0.5000 0.5000
0.5000 0.0000 0.0000
0.0000 0.5000 0.0000
```

As for the calculated volume: 11.4 A^3/atom. As for the polymorph energy (0 for the lowest one): 1.41 eV/f.u. Its space-group type is No. 123. The value obtained for the raw formation energy is 3.8 eV/f.u.

ReB2Te | GGA-PBE | relaxed

```
ReB2Te
1.0
5.1731 0.0000 0.0000
0.0000 5.1731 0.0000
2.5865 2.5865 4.9988
Te Re B
2 2 4
direct
0.5000 0.5000 0.0000
0.2500 0.7500 0.5000
0.0000 0.0000 0.0000
0.7500 0.2500 0.5000
0.0782 0.6250 0.2500
0.3750 0.3282 0.7500
0.6718 0.1250 0.2500
0.8750 0.9218 0.7500
```

As for the calculated volume: 16.7 A^3/atom. As for the polymorph energy (0 for the lowest one): 0.00 eV/f.u. Its space-group type is No. 122. The value obtained for the raw formation energy is 3.4 eV/f.u.

Si5Sb | GGA-PBE | relaxed

```
Si5Sb
1.0
2.6266 -4.5494 0.0000
2.6266 4.5494 0.0000
0.0000 0.0000 4.2986
Si Sb
5 1
direct
0.6667 0.3333 0.0000
0.3333 0.6667 0.0000
0.0000 0.5000 0.5000
0.5000 0.0000 0.5000
0.5000 0.5000 0.5000
0.0000 0.0000 0.0000
```

As for the calculated volume: 17.1 A^3/atom. As for the polymorph energy (0 for the lowest one): 0.74 eV/f.u. Its space-group type is No. 191. The value obtained for the raw formation energy is 3.6 eV/f.u.